This record from Alexandria describes a PBEsol-optimized structure of ScTiCl3. The functional is SCAN.

Summary:
total magnetization: 4.0 μB/f.u.
formation energy (no corrections): -1.01 eV per atom

```
ScTiCl3
1.0
4.7980 0.0000 0.0000
0.0000 4.7980 0.0000
0.0000 0.0000 4.7980
Sc Ti Cl
1 1 3
direct
0.0000 0.0000 0.0000
0.5000 0.5000 0.5000
0.0000 0.5000 0.5000
0.5000 0.0000 0.5000
0.5000 0.5000 0.0000
```